Record 1
Material: KAsO3
Method: DFT, PBE
State: relaxed

Cell lengths 3.0801, 7.1880, 7.5255 Å; angles 95.14, 90.28, 90.06 degrees
With the nearest neighbours (Å) after each atom.
Space group P-1 (No. 2)
Symmetry-distinct sites (fractional):
K: 0.0020 0.1991 0.1646 (multiplicity 2)  6 O 2.62-2.84
As: 0.4958 0.2831 0.6965 (multiplicity 2)  2 O 1.66-1.68
O: 0.0061 0.7702 0.4407 (multiplicity 2)  2 As 1.87
O: 0.4967 0.5101 0.7584 (multiplicity 2)  1 As 1.66
O: 0.4976 0.1261 0.8489 (multiplicity 2)  1 As 1.68

As for the calculated total energy: -27.6 eV per formula unit. The uncorrected formation energy comes out at -1.387 eV per atom. As for the crystal system: triclinic.

Record 2
Material: GdTmGeRu
Method: DFT, PBE
State: relaxed

Cell lengths 6.9571, 6.9571, 6.9571 Å; angles 90.00, 90.00, 90.00 degrees
With the nearest neighbours (Å) after each atom.
Space group F-43m (No. 216)
Symmetry-distinct sites (fractional):
Gd: 0.0000 0.0000 0.0000 (multiplicity 4)  4 Ge 3.01, 4 Ru 3.01
Tm: 0.0000 0.0000 0.5000 (multiplicity 4)  4 Ge 3.01, 4 Ru 3.01
Ge: 0.2500 0.2500 0.2500 (multiplicity 4)  4 Gd 3.01, 4 Tm 3.01
Ru: 0.2500 0.2500 0.7500 (multiplicity 4)  4 Gd 3.01, 4 Tm 3.01

As for the calculated total energy: -34.4 eV per formula unit. For the formation enthalpy at 0 K, the calculation gives -0.477 eV/atom. As for the crystal system: cubic.

Record 3
Material: Pr2Al3GaCu4
Method: DFT, PBE
State: relaxed

Cell lengths 4.2642, 4.2642, 10.1425 Å; angles 90.00, 90.00, 90.00 degrees
With the nearest neighbours (Å) after each atom.
Space group P-4m2 (No. 115)
Symmetry-distinct sites (fractional):
Pr: 0.0000 0.5000 0.2463 (multiplicity 2)  6 Al 3.25-3.34, 8 Cu 3.26-3.28, 2 Ga 3.34
Al: 0.0000 0.5000 0.8736 (multiplicity 2)  5 Cu 2.46-2.49
Al: 0.5000 0.5000 0.5000 (multiplicity 1)  4 Cu 2.51
Ga: 0.0000 0.0000 0.5000 (multiplicity 1)  4 Cu 2.51
Cu: 0.0000 0.0000 0.0000 (multiplicity 1)  4 Al 2.49
Cu: 0.0000 0.5000 0.6312 (multiplicity 2)  3 Al 2.46-2.51, 2 Ga 2.51
Cu: 0.5000 0.5000 0.0000 (multiplicity 1)  4 Al 2.49

As for the calculated total energy: -44.2 eV per formula unit. For the formation enthalpy at 0 K, the calculation gives -0.399 eV/atom. As for the crystal system: tetragonal.

Record 4
Material: AcEuLuSn
Method: DFT, PBE
State: relaxed

Cell lengths 7.9682, 7.9682, 7.9682 Å; angles 90.00, 90.00, 90.00 degrees
With the nearest neighbours (Å) after each atom.
Space group F-43m (No. 216)
Symmetry-distinct sites (fractional):
Ac: 0.0000 0.0000 0.0000 (multiplicity 4)  4 Eu 3.45, 4 Lu 3.45
Eu: 0.2500 0.2500 0.2500 (multiplicity 4)  4 Ac 3.45, 4 Sn 3.45
Lu: 0.2500 0.2500 0.7500 (multiplicity 4)  4 Ac 3.45, 4 Sn 3.45
Sn: 0.0000 0.0000 0.5000 (multiplicity 4)  4 Lu 3.45, 4 Eu 3.45

As for the calculated total energy: -23.4 eV per formula unit. For the formation enthalpy at 0 K, the calculation gives -0.119 eV/atom. As for the crystal system: cubic.

Which value of calculated total energy does entry 3 give?
-44.2 eV per formula unit